[1]
Compound: TaMo
Source: Alexandria via LeMat-Bulk
Functional: PBEsol
Structure: optimized geometry

Calculated values
* theoretical density: 14.08 g/cm3
* magnetization: 0.00 μB/f.u.
* DOS at the Fermi energy: 2.91 states/eV per cell
* calculated total energy: -0.901 Ry/atom
* volume: 33 Å³/f.u.
* energy of formation from the pure elements: -100 meV/atom

Cell: 3.198 4.600 4.440 Å, 90.00 90.00 90.00°
Space group Cmmm (No. 65)
Unique sites:
Ta1 0.000 0.000 0.000 [2 per cell]
Mo1 0.000 0.500 0.500 [2 per cell]

=====

[2]
Compound: K2CdPt
Source: Alexandria via LeMat-Bulk
Functional: PBEsol
Structure: optimized geometry

Calculated values
* theoretical density: 6.19 g/cm3
* magnetization: 0.00 μB/f.u.
* DOS at the Fermi energy: 1.33 states/eV per cell
* energy above the lowest structure with this stoichiometry: 1.18 eV per formula unit
* calculated total energy: -0.174 Ry/atom
* volume: 104 Å³/f.u.
* energy of formation from the pure elements: 235 meV/atom

Cell: 3.133 3.133 10.548 Å, 90.00 90.00 90.00°
Space group P4/mmm (No. 123)
Unique sites:
K1 0.000 0.000 0.212 [2 per cell]
Cd1 0.500 0.500 0.500 [1 per cell]
Pt1 0.500 0.500 0.000 [1 per cell]

=====

[3]
Compound: ZrPSeO2
Source: Alexandria via LeMat-Bulk
Functional: PBEsol
Structure: optimized geometry

Calculated values
* theoretical density: 4.26 g/cm3
* magnetization: 0.00 μB/f.u.
* uncorrected formation energy: -1.1931 eV per atom
* DOS at the Fermi energy: 3.48 states/eV per cell
* energy above the lowest structure with this stoichiometry: 0.00 eV per formula unit
* calculated total energy: -0.517 Ry/atom
* volume: 91 Å³/f.u.

Cell: 3.924 3.924 5.895 Å, 90.00 90.00 90.00°
Space group P4/mmm (No. 123)
Unique sites:
Zr1 0.000 0.000 0.000 [1 per cell]
P1 0.000 0.000 0.500 [1 per cell]
Se1 0.500 0.500 0.500 [1 per cell]
O1 0.000 0.500 0.000 [2 per cell]

=====

[4]
Compound: BaSr3Ti4O12
Source: Alexandria via LeMat-Bulk
Functional: PBEsol
Structure: optimized geometry

Calculated values
* theoretical density: 5.40 g/cm3
* magnetization: 0.00 μB/f.u.
* uncorrected formation energy: -3.1812 eV per atom
* DOS at the Fermi energy: 0.00 states/eV per cell
* calculated total energy: -0.616 Ry/atom
* volume: 241 Å³/f.u.

Cell: 3.921 3.921 15.680 Å, 90.00 90.00 90.00°
Space group P4/mmm (No. 123)
Unique sites:
Ba1 0.000 0.000 0.000 [1 per cell]
Sr1 0.000 0.000 0.252 [2 per cell]
Sr2 0.000 0.000 0.500 [1 per cell]
Ti1 0.500 0.500 0.129 [2 per cell]
Ti2 0.500 0.500 0.376 [2 per cell]
O1 0.000 0.500 0.130 [4 per cell]
O2 0.000 0.500 0.376 [4 per cell]
O3 0.500 0.500 0.000 [1 per cell]
O4 0.500 0.500 0.252 [2 per cell]
O5 0.500 0.500 0.500 [1 per cell]

=====

[5]
Compound: Fe
Source: Alexandria via LeMat-Bulk
Functional: PBEsol
Structure: optimized geometry

Calculated values
* theoretical density: 9.50 g/cm3
* magnetization: 0.00 μB/f.u.
* DOS at the Fermi energy: 2.23 states/eV per cell
* energy above the lowest structure with this stoichiometry: 0.00 eV per formula unit
* calculated total energy: -0.659 Ry/atom
* volume: 10 Å³/f.u.
* energy of formation from the pure elements: 0 meV/atom

Cell: 2.4230 2.4230 3.8396 Å, 90.00 90.00 120.00°
Space group P6_3/mmc (No. 194)
Unique sites:
Fe1 0.3333 0.6667 0.2500 [2 per cell]

=====

[6]
Compound: Cu2RuBr
Source: Alexandria via LeMat-Bulk
Functional: PBEsol
Structure: optimized geometry

Calculated values
* theoretical density: 9.13 g/cm3
* magnetization: 0.00 μB/f.u.
* uncorrected formation energy: 0.6873 eV per atom
* DOS at the Fermi energy: 7.14 states/eV per cell
* energy above the lowest structure with this stoichiometry: 0.00 eV per formula unit
* calculated total energy: -0.330 Ry/atom
* volume: 56 Å³/f.u.

Cell: 2.922 4.356 8.805 Å, 90.00 90.00 90.00°
Space group Immm (No. 71)
Unique sites:
Cu1 0.000 0.000 0.249 [4 per cell]
Ru1 0.000 0.500 0.000 [2 per cell]
Br1 0.000 0.500 0.500 [2 per cell]